1.
The following is a PBE calculation of a relaxed Li3MnC crystal, from Alexandria.

```
5
Lattice="4.7417 0.0000 0.0000 0.0000 4.7417 0.0000 0.0000 0.0000 4.7417" Properties=species:S:1:pos:R:3 pbc="T T T"
Li 2.3709 0.0000 0.0000
Li 0.0000 2.3709 0.0000
Li 0.0000 0.0000 2.3709
Mn 0.0000 0.0000 0.0000
C 2.3709 2.3709 2.3709
```

Output
SG: Pm-3m (221)
Calculated total energy (eV/atom): -2.9228
Size of the total moment (μB/cell): 5.88
Energy of formation from the pure elements (eV/atom): 1.9042

2.
The following is a PBE calculation of a relaxed Li3MnC crystal, from Alexandria.

```
5
Lattice="-0.3186 2.4893 -2.9999 -0.5307 -3.0095 -2.4409 -3.8619 0.2082 0.5830" Properties=species:S:1:pos:R:3 pbc="T T T"
Li -0.1593 1.2446 -1.4999
Li -1.9309 0.1041 0.2915
Li -0.2654 -1.5048 -1.2205
C 0.0000 0.0000 0.0000
Mn -2.3556 -0.1560 -2.4289
```

Output
SG: Pm-3m (221)
Calculated total energy (eV/atom): -3.6715
Size of the total moment (μB/cell): 0.34
Energy of formation from the pure elements (eV/atom): 1.1555

3.
The following is a PBE calculation of a relaxed LiMn2C crystal, from Alexandria.

```
8
Lattice="-3.2191 -4.3180 -0.2763 2.9067 -1.9031 -4.1247 2.8956 -5.5966 1.0971" Properties=species:S:1:pos:R:3 pbc="T T T"
C 0.0000 0.0000 0.0000
C -0.2399 -6.5126 -0.6898
Li 2.8231 -5.3051 -2.6141
Li -0.1562 -3.1106 -2.2005
Mn -0.2789 -6.3706 -2.5456
Mn -0.2842 -8.2120 0.0691
Mn 1.3304 -6.0563 0.2001
Mn -1.7267 -5.4116 -0.4828
```

Output
SG: I4_1/amd (141)
Calculated total energy (eV/atom): -6.6847
Size of the total moment (μB/cell): 11.95
Energy of formation from the pure elements (eV/atom): 0.6845

4.
The following is a PBE calculation of a relaxed LiMn22C6 crystal, from Alexandria.

```
29
Lattice="6.3508 0.0000 3.6666 2.1169 5.9876 3.6666 0.0000 0.0000 7.3333" Properties=species:S:1:pos:R:3 pbc="T T T"
Mn 1.3945 3.9443 4.9179
Mn 6.2235 2.2904 7.3333
Mn 1.3945 3.9443 2.4154
Mn 2.2442 3.6972 7.3332
Mn 0.0000 0.0000 2.5025
Mn 6.3508 4.4907 10.9999
Mn 4.1836 0.0000 2.4154
Mn 3.2391 2.2904 9.0563
Mn 0.7224 2.0433 6.0820
Mn 4.9060 2.0433 3.6666
Mn 4.2339 0.8835 7.3332
Mn 3.5617 3.9443 3.6666
Mn 0.7224 2.0433 1.2512
Mn 2.1672 0.0000 1.2512
Mn 0.0000 0.0000 4.8308
Mn 3.2391 2.2904 5.6102
Mn 5.2287 3.6972 5.6102
Mn 4.1836 0.0000 4.9179
Mn 2.1672 0.0000 6.0820
Mn 5.2287 3.6972 9.0563
Mn 2.1169 1.4969 3.6666
Mn 4.2339 5.1041 7.3333
C 3.2741 4.3510 8.9955
C 5.1936 1.6366 5.6710
C 3.2741 4.3510 5.6710
C 6.1533 4.3510 7.3333
C 5.1936 1.6366 8.9955
C 2.3144 1.6366 7.3333
Li 0.0000 0.0000 0.0000
```

Output
SG: Fm-3m (225)
Calculated total energy (eV/atom): -9.0161
Size of the total moment (μB/cell): 11.40
Energy of formation from the pure elements (eV/atom): -0.0855

- The highest energy of formation from the pure elements belongs to which entry?
  number 1